[1]
The following is a DFT calculation (PBE) of an optimized crystal structure of Pd4PbAu3.

```
Pd4PbAu3
1.0
-2.809 4.730 2.744
2.809 -4.730 2.744
2.809 4.730 -2.744
Pd Pb Au
4 1 3
Cartesian
0.000 2.317 0.000 Pd
0.000 7.142 0.000 Pd
-1.424 4.730 1.445 Pd
1.424 4.730 1.445 Pd
2.809 0.000 1.552 Pb
2.809 2.363 -0.002 Au
0.000 0.000 1.377 Au
0.000 2.366 2.742 Au
```

Output
- E_form: 0.0 eV/f.u.

=====

[2]
The following is a DFT calculation (PBE) of an optimized crystal structure of K2CoNi.

```
K2CoNi
1.0
9.806 -1.529 0.000
9.806 1.529 0.000
-0.642 0.000 3.692
K Co Ni
2 1 1
Cartesian
2.728 0.000 0.496 K
16.243 0.000 3.197 K
-0.321 0.000 1.846 Co
9.806 0.000 0.000 Ni
```

Output
- E_form: 2.4 eV/f.u.

=====

[3]
The following is a DFT calculation (PBE) of an optimized crystal structure of UBeV2.

```
UBeV2
1.0
1.368 0.790 8.989
-1.368 0.790 8.989
0.000 -1.579 8.989
U Be V
1 1 2
Cartesian
0.000 0.000 0.000 U
0.000 0.000 13.483 Be
0.000 0.000 2.598 V
0.000 0.000 24.369 V
```

Output
- E_form: 1.9 eV/f.u.

=====

[4]
The following is a DFT calculation (PBE) of an optimized crystal structure of YCo2Au.

```
YCo2Au
1.0
3.824 0.000 0.000
0.000 1.883 4.824
0.000 -1.883 4.824
Y Co Au
1 2 1
Cartesian
0.000 0.000 0.000 Y
0.000 0.000 2.719 Co
1.912 0.000 3.834 Co
1.912 0.000 6.617 Au
```

Output
- E_form: -0.2 eV/f.u.

=====

| no. | VASP energy (eV per atom) |
| --- | --- |
| 1 | -4.29 |
| 2 | -3.17 |
| 3 | -7.83 |
| 4 | -6.05 |